A relaxed BaPrSe2O8 crystal. Source: Alexandria via LeMat-Bulk, functional GGA-PBE. Values from VASP.

The structure in Quantum ESPRESSO input format:
```
&SYSTEM
  ibrav = 0, nat = 12, ntyp = 4
/
ATOMIC_SPECIES
Ba 137.33 Ba.upf
Pr 140.91 Pr.upf
Se 78.96 Se.upf
O 16.00 O.upf
ATOMIC_POSITIONS crystal
Ba 0.000 0.000 0.000
Pr 0.000 0.000 0.500
Se 0.333 0.667 0.772
Se 0.667 0.333 0.228
O 0.167 0.337 0.707
O 0.170 0.833 0.707
O 0.333 0.667 0.982
O 0.337 0.170 0.293
O 0.663 0.830 0.707
O 0.667 0.333 0.018
O 0.830 0.167 0.293
O 0.833 0.663 0.293
CELL_PARAMETERS angstrom
5.873 0.000 0.000
-2.936 5.086 0.000
0.000 0.000 7.939
```

Calculated values
Size of the total moment (μB/f.u.): 0.0
DOS at the Fermi energy (states/eV/cell): 3.2
SG: P-3 (147)
Theoretical density (Mg/m³): 3.950
VASP energy (eV for the cell shown): -72.73